# 1
The following is a PBE calculation of crystalline Tb3Pm4Pr5 at its relaxed geometry, from the Alexandria database.

Calculated values
energy relative to the elements = 0.0133 eV/atom

Unit cell a=7.302 b=11.557 c=13.179 alpha=151.30 beta=56.45 gamma=129.16
Atoms (fractional coordinates):
Pm (0.165, 0.331, 0.166)
Pr (0.500, 0.000, 0.500)
Pm (0.835, 0.669, 0.834)
Tb (0.584, 0.167, 0.333)
Pm (0.916, 0.831, 0.665)
Pr (0.666, 0.335, 0.169)
Pr (0.250, 0.502, 0.002)
Tb (0.000, 0.000, 0.500)
Pm (0.084, 0.169, 0.335)
Tb (0.416, 0.833, 0.667)
Pr (0.334, 0.665, 0.831)
Pr (0.750, 0.498, 0.998)

=====

# 2
The following is a PBE calculation of crystalline HfCdCl2 at its relaxed geometry, from the Alexandria database.

Calculated values
ΔE_f (raw) = -0.06 eV per atom

Unit cell a=4.881 b=4.881 c=4.881 alpha=60.00 beta=60.00 gamma=60.00
Atoms (fractional coordinates):
Cl (0.750, 0.750, 0.750)
Cl (0.250, 0.250, 0.250)
Hf (0.500, 0.500, 0.500)
Cd (0.000, 0.000, 0.000)